1.
Material: NaMg2Pb2
Method: DFT, GGA-PBE
State: optimized geometry

DFT total energy ... -2.47 eV/atom
SG ... P4/mbm, No. 127
Formation energy from the elements ... -0.08 eV/atom

abc: 8.7625 8.7625 3.5695
angles: 90.00 90.00 90.00
Closest atoms and distances in Å follow each position.
Sites, in units of the cell vectors:
1 Pb 0.1723 0.6723 0.5000  6 Mg 3.08-3.19
2 Pb 0.6723 0.8277 0.5000  6 Mg 3.08-3.19
3 Pb 0.8277 0.3277 0.5000  6 Mg 3.08-3.19
4 Pb 0.3277 0.1723 0.5000  6 Mg 3.08-3.19
5 Na 0.0000 0.0000 0.0000  4 Mg 3.46, 2 Na 3.57, 8 Pb 3.70
6 Na 0.5000 0.5000 0.0000  4 Mg 3.46, 2 Na 3.57, 8 Pb 3.70
7 Mg 0.3748 0.8748 0.0000  6 Pb 3.08-3.19, 1 Mg 3.10
8 Mg 0.8748 0.6252 0.0000  6 Pb 3.08-3.19, 1 Mg 3.10
9 Mg 0.6252 0.1252 0.0000  6 Pb 3.08-3.19, 1 Mg 3.10
10 Mg 0.1252 0.3748 0.0000  6 Pb 3.08-3.19, 1 Mg 3.10

=====

2.
Material: Sr2H3N2
Method: DFT, GGA-PBE
State: optimized geometry

DFT total energy ... -4.16 eV/atom
SG ... C2/m, No. 12

abc: 2.9684 5.1666 5.5413
angles: 85.95 90.00 106.69
Closest atoms and distances in Å follow each position.
Sites, in units of the cell vectors:
1 Sr 0.8726 0.7452 0.2426  3 H 2.31-2.40
2 Sr 0.1274 0.2548 0.7574  3 H 2.31-2.40
3 H 0.5000 0.0000 0.0000  2 H 2.12, 4 Sr 2.31
4 H 0.6296 0.2592 0.2871  2 N 1.50
5 H 0.3704 0.7408 0.7129  2 N 1.50
6 N 0.8472 0.6944 0.7164  2 H 1.50
7 N 0.1528 0.3056 0.2836  2 H 1.50

=====

3.
Material: Y5Tl6Cd
Method: DFT, GGA-PBE
State: optimized geometry

DFT total energy ... -4.27 eV/atom
SG ... Immm, No. 71
Formation energy from the elements ... -0.31 eV/atom

abc: 5.2186 7.7835 9.3307
angles: 114.65 106.24 90.00
Closest atoms and distances in Å follow each position.
Sites, in units of the cell vectors:
1 Y 0.3565 0.8565 0.7130  6 Tl 3.12-3.31, 2 Cd 3.49
2 Y 0.6742 0.6742 0.3485  8 Tl 3.22-3.34
3 Y 0.0000 0.5000 0.0000  8 Tl 3.17-3.32
4 Y 0.3258 0.3258 0.6515  8 Tl 3.22-3.34
5 Y 0.6435 0.1435 0.2870  6 Tl 3.12-3.31, 2 Cd 3.49
6 Tl 0.1690 0.4256 0.3381  7 Y 3.22-3.57, 1 Cd 3.38
7 Tl 0.1690 0.9125 0.3381  7 Y 3.22-3.57, 1 Cd 3.38
8 Tl 0.5000 0.2694 0.0000  6 Y 3.12-3.34, 2 Cd 3.35
9 Tl 0.5000 0.7306 0.0000  6 Y 3.12-3.34, 2 Cd 3.35
10 Tl 0.8310 0.0875 0.6619  7 Y 3.22-3.57, 1 Cd 3.38
11 Tl 0.8310 0.5744 0.6619  7 Y 3.22-3.57, 1 Cd 3.38
12 Cd 0.0000 0.0000 0.0000  8 Tl 3.35-3.38, 4 Y 3.49

=====

4.
Material: RbLiBiI6
Method: DFT, GGA-PBE
State: optimized geometry

DFT total energy ... -2.54 eV/atom
Formation energy (no corrections) ... -0.7566 eV per atom
SG ... P1, No. 1

abc: 8.4617 9.4243 8.2964
angles: 102.39 100.39 42.49
Closest atoms and distances in Å follow each position.
Sites, in units of the cell vectors:
1 Rb 0.0617 0.9923 0.0212  8 I 3.81-4.10
2 Li 0.2882 0.4931 0.5184  4 I 2.81-3.00
3 Bi 0.6652 0.6304 0.5273  5 I 2.90-3.18
4 I 0.1327 0.3375 0.2592  1 Li 3.00, 2 I 3.26-3.28
5 I 0.2124 0.0447 0.6375  1 Bi 2.90
6 I 0.5893 0.4731 0.7690  1 Li 2.90, 1 Bi 3.13
7 I 0.9582 0.6808 0.7520  1 Li 2.81, 1 Bi 3.09
8 I 0.4569 0.5087 0.2626  1 Li 2.85, 1 Bi 3.12
9 I 0.6351 0.8396 0.2528  1 Bi 3.18, 2 I 3.26-3.28

=====

5.
Material: Cr5Cd4
Method: DFT, GGA-PBE
State: optimized geometry

DFT total energy ... -5.23 eV/atom
SG ... I4/mmm, No. 139
Formation energy from the elements ... 0.52 eV/atom

abc: 6.6898 6.6898 6.6898
angles: 95.11 95.11 145.29
Closest atoms and distances in Å follow each position.
Sites, in units of the cell vectors:
1 Cr 0.0000 0.0000 0.0000  8 Cr 2.83, 4 Cd 2.92
2 Cr 0.6574 0.6574 0.3147  6 Cr 2.83-3.10, 6 Cd 2.87-3.10
3 Cr 0.3426 0.6574 0.0000  6 Cr 2.83-3.10, 6 Cd 2.87-3.10
4 Cr 0.6574 0.3426 0.0000  6 Cr 2.83-3.10, 6 Cd 2.87-3.10
5 Cr 0.3426 0.3426 0.6853  6 Cr 2.83-3.10, 6 Cd 2.87-3.10
6 Cd 0.6764 0.0000 0.6764  7 Cr 2.87-3.10, 5 Cd 3.01-3.19
7 Cd 0.3236 0.0000 0.3236  7 Cr 2.87-3.10, 5 Cd 3.01-3.19
8 Cd 0.0000 0.6764 0.6764  7 Cr 2.87-3.10, 5 Cd 3.01-3.19
9 Cd 0.0000 0.3236 0.3236  7 Cr 2.87-3.10, 5 Cd 3.01-3.19

=====

6.
Material: BiP2SO
Method: DFT, GGA-PBE
State: optimized geometry

DFT total energy ... -2.99 eV/atom
Formation energy (no corrections) ... 1.7692 eV per atom
SG ... P4/mmm, No. 123

abc: 5.4574 5.4574 5.1476
angles: 90.00 90.00 90.00
Closest atoms and distances in Å follow each position.
Sites, in units of the cell vectors:
1 P 0.0000 0.5000 0.0000  2 Bi 2.73
2 P 0.5000 0.0000 0.0000  2 Bi 2.73
3 S 0.0000 0.0000 0.5000  2 Bi 2.57
4 Bi 0.0000 0.0000 0.0000  2 S 2.57, 4 P 2.73
5 O 0.5000 0.5000 0.5000  8 P 3.75, 4 S 3.86

=====

7.
Material: YZrPt2
Method: DFT, GGA-PBE
State: optimized geometry

DFT total energy ... -7.83 eV/atom
SG ... Pmmm, No. 47
Formation energy from the elements ... -1.06 eV/atom

abc: 3.4375 3.3767 7.7951
angles: 64.28 90.00 90.00
Closest atoms and distances in Å follow each position.
Sites, in units of the cell vectors:
1 Pt 0.0000 0.0305 0.9690  4 Zr 2.86, 1 Pt 3.08, 4 Y 3.11-3.12
2 Pt 0.0000 0.4695 0.5310  4 Zr 2.86, 1 Pt 3.08, 4 Y 3.11-3.12
3 Y 0.5000 0.2500 0.2500  8 Pt 3.11-3.12, 4 Y 3.38-3.44
4 Zr 0.5000 0.7500 0.7500  8 Pt 2.86

=====

8.
Material: V3TcAs
Method: DFT, GGA-PBE
State: optimized geometry

DFT total energy ... -7.55 eV/atom
SG ... Pm-3m, No. 221
Formation energy from the elements ... 0.92 eV/atom

abc: 4.4318 4.4318 4.4318
angles: 90.00 90.00 90.00
Closest atoms and distances in Å follow each position.
Sites, in units of the cell vectors:
1 As 0.0000 0.0000 0.0000  6 V 2.22
2 Tc 0.5000 0.5000 0.5000  12 V 3.13
3 V 0.0000 0.5000 0.0000  2 As 2.22
4 V 0.0000 0.0000 0.5000  2 As 2.22
5 V 0.5000 0.0000 0.0000  2 As 2.22

=====

9.
Material: AcSi2Ir
Method: DFT, GGA-PBE
State: optimized geometry

DFT total energy ... -6.80 eV/atom
Formation energy (no corrections) ... -0.8494 eV per atom
SG ... Cmcm, No. 63

abc: 4.3200 4.4414 8.9170
angles: 104.42 90.00 90.00
Closest atoms and distances in Å follow each position.
Sites, in units of the cell vectors:
1 Ac 0.2500 0.8931 0.7861  10 Si 3.28-3.38, 5 Ir 3.35-3.67
2 Ac 0.7500 0.1069 0.2139  10 Si 3.28-3.38, 5 Ir 3.35-3.67
3 Si 0.2500 0.2497 0.4995  4 Ir 2.47-2.52
4 Si 0.7500 0.7503 0.5005  4 Ir 2.47-2.52
5 Si 0.7500 0.4594 0.9188  1 Ir 2.42, 2 Si 2.58
6 Si 0.2500 0.5406 0.0812  1 Ir 2.42, 2 Si 2.58
7 Ir 0.7500 0.3193 0.6385  5 Si 2.42-2.52
8 Ir 0.2500 0.6807 0.3615  5 Si 2.42-2.52

=====

10.
Material: RbPuTiBr6
Method: DFT, GGA-PBE
State: optimized geometry

DFT total energy ... -5.15 eV/atom
Formation energy (no corrections) ... -1.4547 eV per atom
SG ... P-31c, No. 163

abc: 7.0991 7.0991 15.8630
angles: 90.00 90.00 120.00
Closest atoms and distances in Å follow each position.
Sites, in units of the cell vectors:
1 Rb 0.0000 0.0000 0.0000  6 Br 3.48
2 Rb 0.0000 0.0000 0.5000  6 Br 3.48
3 Pu 0.3333 0.6667 0.2500  6 Br 2.92
4 Pu 0.6667 0.3333 0.7500  6 Br 2.92
5 Ti 0.6667 0.3333 0.2500  6 Br 2.66
6 Ti 0.3333 0.6667 0.7500  6 Br 2.66
7 Br 0.6573 0.6288 0.1497  1 Ti 2.66, 1 Pu 2.92
8 Br 0.9716 0.3427 0.1497  1 Ti 2.66, 1 Pu 2.92
9 Br 0.3427 0.9716 0.6497  1 Ti 2.66, 1 Pu 2.92
10 Br 0.0284 0.6573 0.8503  1 Ti 2.66, 1 Pu 2.92
11 Br 0.3712 0.3427 0.3503  1 Ti 2.66, 1 Pu 2.92
12 Br 0.9716 0.6288 0.3503  1 Ti 2.66, 1 Pu 2.92
13 Br 0.6288 0.9716 0.8503  1 Ti 2.66, 1 Pu 2.92
14 Br 0.6573 0.0284 0.3503  1 Ti 2.66, 1 Pu 2.92
15 Br 0.0284 0.3712 0.6497  1 Ti 2.66, 1 Pu 2.92
16 Br 0.3712 0.0284 0.1497  1 Ti 2.66, 1 Pu 2.92
17 Br 0.6288 0.6573 0.6497  1 Ti 2.66, 1 Pu 2.92
18 Br 0.3427 0.3712 0.8503  1 Ti 2.66, 1 Pu 2.92

=====

11.
Material: BC2
Method: DFT, GGA-PBE
State: optimized geometry

DFT total energy ... -8.10 eV/atom
SG ... Cm, No. 8
Formation energy from the elements ... 0.27 eV/atom

abc: 4.5612 4.5612 7.6275
angles: 114.69 114.69 32.95
Closest atoms and distances in Å follow each position.
Sites, in units of the cell vectors:
1 B 0.5010 0.5010 0.3698  4 C 1.63-1.72
2 B 0.2052 0.2052 0.2444  3 C 1.57
3 B 0.9709 0.9709 0.9571  3 C 1.52-1.61
4 B 0.3296 0.3296 0.6785  4 C 1.63-1.71
5 C 0.6764 0.6764 0.3439  1 C 1.50, 3 B 1.57-1.63
6 C 0.3308 0.3308 0.1480  2 C 1.54, 2 B 1.57-1.70
7 C 0.8270 0.8270 0.0361  3 C 1.54-1.60, 1 B 1.61
8 C 0.6613 0.6613 0.8317  4 C 1.54-1.60
9 C 0.5071 0.5071 0.8778  3 B 1.52-1.63, 1 C 1.54
10 C 0.1573 0.1573 0.7112  3 C 1.52-1.58, 1 B 1.63
11 C 0.9996 0.9996 0.5173  2 C 1.51-1.52
12 C 0.8337 0.8337 0.5342  2 C 1.50-1.51

=====

12.
Material: AlSbRu2
Method: DFT, GGA-PBE
State: optimized geometry

DFT total energy ... -6.69 eV/atom
Formation energy (no corrections) ... -0.0809 eV per atom
SG ... Imm2, No. 44

abc: 5.4530 5.4530 5.4530
angles: 146.60 134.15 57.90
Closest atoms and distances in Å follow each position.
Sites, in units of the cell vectors:
1 Sb 0.5052 0.5052 0.0000  6 Ru 2.64-2.77
2 Al 0.2355 0.7355 0.5000  6 Ru 2.62-2.64
3 Ru 0.0149 0.0149 0.0000  2 Al 2.62, 4 Sb 2.64
4 Ru 0.7444 0.2444 0.5000  4 Al 2.64, 2 Sb 2.77